Material: K2Mn3CuF12
Method: DFT, GGA+U
State: optimized geometry

The structure in POSCAR format:
```
K2Mn3CuF12
1.0
3.644 2.104 5.906
-3.644 2.104 5.906
0.000 -4.208 5.906
K Mn Cu F
2 3 1 12
Cartesian
0.000 0.000 2.260
0.000 0.000 15.458
-1.822 -1.052 5.906
-1.822 1.052 11.812
0.000 2.104 5.906
0.000 0.000 8.859
-1.583 -0.914 7.786
0.000 -1.686 5.633
-1.460 0.843 5.633
-1.460 -0.843 12.086
0.000 -1.828 9.932
-1.583 0.914 9.932
1.583 -0.914 7.786
0.000 1.828 7.786
1.460 0.843 5.633
1.460 -0.843 12.086
0.000 1.686 12.086
1.583 0.914 9.932
```

DOS(E_F) (states/eV per atom): 0.2520
Final energy (eV/atom): -5.025